[1]
First-principles (PBE) data for a geometry-optimized ErMgIn structure, as listed in Alexandria.

Total DFT energy (no corrections), eV per cell: -9.84

Unit cell a=3.530 b=4.948 c=4.948 alpha=120.00 beta=90.00 gamma=90.00
Atoms (fractional coordinates):
1 In 0.167 0.000 0.000
2 Mg 0.166 0.667 0.333
3 Er 0.666 0.333 0.667



[2]
First-principles (PBE) data for a geometry-optimized Er5Mg4In structure, as listed in Alexandria.

Total DFT energy (no corrections), eV per cell: -33.48

Unit cell a=3.762 b=3.762 c=18.708 alpha=90.00 beta=90.00 gamma=90.00
Atoms (fractional coordinates):
1 Er 0.500 0.500 0.100
2 Er 0.500 0.500 0.299
3 In 0.000 0.000 0.000
4 Er 0.500 0.500 0.500
5 Mg 0.000 0.000 0.799
6 Mg 0.000 0.000 0.201
7 Mg 0.000 0.000 0.601
8 Er 0.500 0.500 0.701
9 Er 0.500 0.500 0.900
10 Mg 0.000 0.000 0.399



- Which of these has the lowest total DFT energy (no corrections)?
  Er5Mg4In